Computed, not measured: a relaxed Ba2SrZnNi crystal at the PBE level of DFT.

Cell lengths 6.138, 6.138, 4.971 Å; angles 90.00, 90.00, 90.00 degrees
Fractional positions:
Ba 0.000 0.500 0.000
Ba 0.500 0.000 0.000
Sr 0.000 0.000 0.500
Zn 0.500 0.500 0.500
Ni 0.500 0.500 0.000

Values from the calculation:
Symmetry: P4/mmm, No. 123

---

Computed, not measured: a relaxed BaSrZnNi crystal at the PBE level of DFT.

Cell lengths 4.363, 4.363, 8.564 Å; angles 104.81, 104.81, 60.02 degrees
Fractional positions:
Ba 0.000 0.000 0.000
Sr 0.828 0.828 0.486
Zn 0.243 0.243 0.730
Ni 0.578 0.578 0.734

Values from the calculation:
Symmetry: Cm, No. 8

---

no.,Fermi-level density of states (states/eV per cell),energy of formation from the pure elements (eV/atom)
1,5.403,0.0814
2,2.279,-0.1544